(1)
# Pr6YTl6 | Alexandria via LeMat-Bulk | PBE | optimized geometry
# DFT formation energy in meV per atom: -146.7
data_Pr6YTl6
_cell_length_a 6.964
_cell_length_b 11.469
_cell_length_c 10.487
_cell_angle_alpha 90.00
_cell_angle_beta 90.00
_cell_angle_gamma 90.00
_space_group_name_H-M_alt 'C m m m'
_space_group_IT_number 65
_space_group_name_Hall '-C 2 2'
loop_
_atom_site_label
_atom_site_fract_x
_atom_site_fract_y
_atom_site_fract_z
Pr1 0.000 0.000 0.193
Pr2 0.250 0.250 0.281
Y1 0.000 0.500 0.500
Tl1 0.000 0.129 0.500
Tl2 0.000 0.258 0.000
Tl3 0.000 0.500 0.194

=====

(2)
# SmErPu2As4 | Alexandria via LeMat-Bulk | PBE | optimized geometry
# DFT formation energy in meV per atom: -1267.2
data_SmErPu2As4
_cell_length_a 7.145
_cell_length_b 4.150
_cell_length_c 7.184
_cell_angle_alpha 90.00
_cell_angle_beta 109.59
_cell_angle_gamma 90.00
_space_group_name_H-M_alt 'P 1 2/m 1'
_space_group_IT_number 10
loop_
_space_group_symop_operation_xyz
'x,y,z'
'-x,-y,-z'
'-x,y,-z'
'x,-y,z'
loop_
_atom_site_label
_atom_site_fract_x
_atom_site_fract_y
_atom_site_fract_z
Sm1 0.000 0.000 0.000
Er1 0.000 0.500 0.500
Pu1 0.500 0.000 0.500
Pu2 0.500 0.500 0.000
As1 0.253 0.000 0.747
As2 0.256 0.500 0.256

=====

(3)
# Mg2SnH | Alexandria via LeMat-Bulk | PBE | optimized geometry
# Polymorph energy (0 for the lowest one) in kcal/mol of atoms: 0.84
data_Mg2SnH
_cell_length_a 4.2250
_cell_length_b 4.2250
_cell_length_c 20.1831
_cell_angle_alpha 90.00
_cell_angle_beta 90.00
_cell_angle_gamma 120.00
_space_group_name_H-M_alt 'R -3 m'
_space_group_IT_number 166
_space_group_name_Hall '-R 3 2"'
loop_
_atom_site_label
_atom_site_fract_x
_atom_site_fract_y
_atom_site_fract_z
Mg1 0.0000 0.0000 0.0898
Sn1 0.0000 0.0000 0.5000
H1 0.0000 0.0000 0.0000

=====

(4)
# EuYAgRh | Alexandria via LeMat-Bulk | PBE | optimized geometry
# DFT formation energy in meV per atom: -422.1
data_EuYAgRh
_cell_length_a 7.164
_cell_length_b 7.164
_cell_length_c 7.164
_cell_angle_alpha 90.00
_cell_angle_beta 90.00
_cell_angle_gamma 90.00
_space_group_name_H-M_alt 'F -4 3 m'
_space_group_IT_number 216
_space_group_name_Hall 'F -4 2 3'
loop_
_atom_site_label
_atom_site_fract_x
_atom_site_fract_y
_atom_site_fract_z
Eu1 0.000 0.000 0.000
Y1 0.000 0.000 0.500
Ag1 0.250 0.250 0.750
Rh1 0.250 0.250 0.250

=====

(5)
# TbHfTi | Alexandria via LeMat-Bulk | PBE | optimized geometry
# DFT formation energy in meV per atom: 175.9
# Polymorph energy (0 for the lowest one) in kcal/mol of atoms: 0.00
data_TbHfTi
_cell_length_a 3.125
_cell_length_b 3.125
_cell_length_c 14.444
_cell_angle_alpha 90.00
_cell_angle_beta 90.00
_cell_angle_gamma 90.00
_space_group_name_H-M_alt 'I 4 m m'
_space_group_IT_number 107
_space_group_name_Hall 'I 4 -2'
loop_
_atom_site_label
_atom_site_fract_x
_atom_site_fract_y
_atom_site_fract_z
Tb1 0.000 0.000 0.000
Hf1 0.000 0.000 0.309
Ti1 0.000 0.000 0.674

=====

(6)
# DyHo6Tm5 | Alexandria via LeMat-Bulk | PBE | optimized geometry
# DFT formation energy in meV per atom: 23.7
data_DyHo6Tm5
_cell_length_a 6.061
_cell_length_b 10.519
_cell_length_c 11.606
_cell_angle_alpha 90.00
_cell_angle_beta 100.10
_cell_angle_gamma 90.00
_space_group_name_H-M_alt 'C 1 2/m 1'
_space_group_IT_number 12
loop_
_space_group_symop_operation_xyz
'x,y,z'
'-x,-y,-z'
'-x,y,-z'
'x,-y,z'
'x+1/2,y+1/2,z'
'-x+1/2,-y+1/2,-z'
'-x+1/2,y+1/2,-z'
'x+1/2,-y+1/2,z'
loop_
_atom_site_label
_atom_site_fract_x
_atom_site_fract_y
_atom_site_fract_z
Dy1 0.000 0.000 0.000
Ho1 0.249 0.500 0.250
Ho2 0.250 0.167 0.251
Tm1 0.000 0.167 0.500
Tm2 0.000 0.333 0.000
Tm3 0.000 0.500 0.500

=====

(7)
# Na3ZrIr | Alexandria via LeMat-Bulk | PBE | optimized geometry
# DFT formation energy in meV per atom: 2160.1
data_Na3ZrIr
_cell_length_a 5.665
_cell_length_b 5.665
_cell_length_c 5.665
_cell_angle_alpha 90.00
_cell_angle_beta 90.00
_cell_angle_gamma 90.00
_space_group_name_H-M_alt 'P m -3 m'
_space_group_IT_number 221
_space_group_name_Hall '-P 4 2 3'
loop_
_atom_site_label
_atom_site_fract_x
_atom_site_fract_y
_atom_site_fract_z
Na1 0.000 0.000 0.500
Zr1 0.000 0.000 0.000
Ir1 0.500 0.500 0.500

=====

(8)
# YInTc2Ir | Alexandria via LeMat-Bulk | PBE | optimized geometry
# DFT formation energy in meV per atom: 1424.2
data_YInTc2Ir
_cell_length_a 4.909
_cell_length_b 4.909
_cell_length_c 4.889
_cell_angle_alpha 90.00
_cell_angle_beta 90.00
_cell_angle_gamma 90.00
_space_group_name_H-M_alt 'P 4/m m m'
_space_group_IT_number 123
_space_group_name_Hall '-P 4 2'
loop_
_atom_site_label
_atom_site_fract_x
_atom_site_fract_y
_atom_site_fract_z
Y1 0.000 0.000 0.000
In1 0.500 0.500 0.500
Tc1 0.000 0.500 0.500
Ir1 0.500 0.500 0.000

=====

(9)
# TlAsCl | Alexandria via LeMat-Bulk | PBE | optimized geometry
# Polymorph energy (0 for the lowest one) in kcal/mol of atoms: 4.93
data_TlAsCl
_cell_length_a 6.909
_cell_length_b 6.909
_cell_length_c 6.909
_cell_angle_alpha 90.00
_cell_angle_beta 90.00
_cell_angle_gamma 90.00
_space_group_name_H-M_alt 'F -4 3 m'
_space_group_IT_number 216
_space_group_name_Hall 'F -4 2 3'
loop_
_atom_site_label
_atom_site_fract_x
_atom_site_fract_y
_atom_site_fract_z
Tl1 0.000 0.000 0.000
As1 0.250 0.250 0.750
Cl1 0.000 0.000 0.500

=====

Number 1: energy -3.942 eV per atom. Number 2: energy -8.335 eV per atom. Number 3: energy -2.598 eV per atom. Number 4: energy -7.157 eV per atom. Number 5: energy -7.317 eV per atom. Number 6: energy -4.512 eV per atom. Number 7: energy -2.113 eV per atom. Number 8: energy -6.335 eV per atom. Number 9: energy -2.847 eV per atom.